## V2AuICl (GGA-PBE)

Data for a relaxed V2AuICl crystal.

a = 5.326 Å, b = 5.326 Å, c = 5.349 Å
α = 90.00°, β = 90.00°, γ = 90.00°
Fractional positions:
V: 0.000 0.500 0.000
V: 0.500 0.000 0.000
Au: 0.000 0.000 0.500
I: 0.000 0.000 0.000
Cl: 0.500 0.500 0.500

DFT total energy	-0.2852	Ry/atom
ρ	5047	kg/m³

---

## InAu2Cl (GGA-PBE)

Data for a relaxed InAu2Cl crystal.

a = 5.158 Å, b = 5.158 Å, c = 5.158 Å
α = 126.86°, β = 126.86°, γ = 78.48°
Fractional positions:
In: 0.000 0.000 0.000
Au: 0.250 0.750 0.500
Au: 0.500 0.500 0.000
Cl: 0.750 0.250 0.500

DFT total energy	-0.1988	Ry/atom
E above lowest polymorph	0.2844	eV/atom
ρ	10624	kg/m³

---

## InAu2Cl (GGA-PBE)

Data for a relaxed InAu2Cl crystal.

a = 8.077 Å, b = 8.077 Å, c = 8.077 Å
α = 26.58°, β = 26.58°, γ = 26.58°
Fractional positions:
In: 0.000 0.000 0.000
Au: 0.484 0.484 0.484
Au: 0.741 0.741 0.741
Cl: 0.252 0.252 0.252

DFT total energy	-0.2161	Ry/atom
E above lowest polymorph	0.0489	eV/atom
ρ	9720	kg/m³

---

## InAuCl2 (GGA-PBE)

Data for a relaxed InAuCl2 crystal.

a = 6.863 Å, b = 6.863 Å, c = 6.863 Å
α = 145.87°, β = 145.87°, γ = 49.04°
Fractional positions:
In: 0.000 0.000 0.000
Au: 0.250 0.750 0.500
Cl: 0.500 0.500 0.000
Cl: 0.750 0.250 0.500

DFT total energy	-0.1926	Ry/atom
E above lowest polymorph	0.3732	eV/atom
ρ	6272	kg/m³

---

## InAuCl2 (GGA-PBE)

Data for a relaxed InAuCl2 crystal.

a = 7.115 Å, b = 7.115 Å, c = 7.115 Å
α = 35.00°, β = 35.00°, γ = 35.00°
Fractional positions:
In: 0.000 0.000 0.000
Au: 0.500 0.500 0.500
Cl: 0.235 0.235 0.235
Cl: 0.765 0.765 0.765

DFT total energy	-0.1995	Ry/atom
E above lowest polymorph	0.2786	eV/atom
ρ	6007	kg/m³

---

## InAuCl4 (GGA-PBE)

Data for a relaxed InAuCl4 crystal.

a = 7.474 Å, b = 3.804 Å, c = 14.075 Å
α = 90.00°, β = 119.95°, γ = 90.00°
Fractional positions:
In: 0.000 0.000 0.000
In: 0.000 0.500 0.500
Au: 0.500 0.000 0.500
Au: 0.500 0.500 0.000
Cl: 0.024 0.008 0.631
Cl: 0.024 0.492 0.131
Cl: 0.395 0.618 0.598
Cl: 0.395 0.882 0.098
Cl: 0.605 0.118 0.902
Cl: 0.605 0.382 0.402
Cl: 0.976 0.508 0.869
Cl: 0.976 0.992 0.369

DFT total energy	-0.2149	Ry/atom
ρ	4345	kg/m³

---

## InAuCl2 (GGA-PBE)

Data for a relaxed InAuCl2 crystal.

a = 4.995 Å, b = 4.995 Å, c = 6.836 Å
α = 115.87°, β = 115.87°, γ = 47.15°
Fractional positions:
In: 0.000 0.000 0.000
Au: 0.500 0.500 0.500
Cl: 0.201 0.201 0.717
Cl: 0.799 0.799 0.283

DFT total energy	-0.2023	Ry/atom
E above lowest polymorph	0.2407	eV/atom
ρ	5779	kg/m³

---

## InAuCl2 (GGA-PBE)

Data for a relaxed InAuCl2 crystal.

a = 3.859 Å, b = 3.859 Å, c = 8.679 Å
α = 90.00°, β = 90.00°, γ = 120.34°
Fractional positions:
In: 0.000 0.000 0.000
Au: 0.500 0.500 0.215
Cl: 0.000 0.000 0.406
Cl: 0.500 0.500 0.787

DFT total energy	-0.2060	Ry/atom
E above lowest polymorph	0.1901	eV/atom
ρ	5697	kg/m³